VASP calculation (PBE) on HgIrRh2 after structural relaxation.

a = 3.2430 Å, b = 3.2430 Å, c = 6.1428 Å
α = 90.00°, β = 90.00°, γ = 90.00°
Atoms (fractional coordinates):
Hg (0.0000, 0.0000, 0.0000)
Ir (0.5000, 0.5000, 0.2854)
Rh (0.0000, 0.0000, 0.4992)
Rh (0.5000, 0.5000, 0.7297)

Calculated values
**E_tot**: -5.5803 eV/atom
**Symmetry**: P4mm
**DFT formation energy**: 386 meV per atom

VASP calculation (PBE) on HgIr2Rh after structural relaxation.

a = 2.8149 Å, b = 2.8149 Å, c = 8.0525 Å
α = 90.00°, β = 90.00°, γ = 90.00°
Atoms (fractional coordinates):
Hg (0.0000, 0.0000, 0.0000)
Ir (0.0000, 0.0000, 0.5018)
Ir (0.5000, 0.5000, 0.2788)
Rh (0.5000, 0.5000, 0.7294)

Calculated values
**E_tot**: -6.1479 eV/atom
**Symmetry**: P4mm
**DFT formation energy**: 196 meV per atom

VASP calculation (PBE) on HgIr2Rh after structural relaxation.

a = 2.8176 Å, b = 2.8176 Å, c = 8.0411 Å
α = 90.00°, β = 90.00°, γ = 90.00°
Atoms (fractional coordinates):
Hg (0.0000, 0.0000, 0.0000)
Ir (0.5000, 0.5000, 0.2754)
Ir (0.5000, 0.5000, 0.7246)
Rh (0.0000, 0.0000, 0.5000)

Calculated values
**E_tot**: -6.0326 eV/atom
**Symmetry**: P4/mmm
**DFT formation energy**: 311 meV per atom

VASP calculation (PBE) on HgIrRh2 after structural relaxation.

a = 4.0077 Å, b = 4.0077 Å, c = 7.8247 Å
α = 90.00°, β = 90.00°, γ = 90.00°
Atoms (fractional coordinates):
Hg (0.0000, 0.0000, 0.0000)
Hg (0.5000, 0.5000, 0.5000)
Ir (0.0000, 0.0000, 0.5000)
Ir (0.5000, 0.5000, 0.0000)
Rh (0.0000, 0.5000, 0.2500)
Rh (0.0000, 0.5000, 0.7500)
Rh (0.5000, 0.0000, 0.2500)
Rh (0.5000, 0.0000, 0.7500)

Calculated values
**E_tot**: -5.7013 eV/atom
**Symmetry**: I4/mmm
**DFT formation energy**: 265 meV per atom

VASP calculation (PBE) on HgIrRh2 after structural relaxation.

a = 9.1307 Å, b = 2.8332 Å, c = 4.9861 Å
α = 90.00°, β = 99.97°, γ = 90.00°
Atoms (fractional coordinates):
Hg (0.0000, 0.0000, 0.0000)
Hg (0.5000, 0.5000, 0.0000)
Ir (0.0000, 0.5000, 0.5000)
Ir (0.5000, 0.0000, 0.5000)
Rh (0.2421, 0.0000, 0.7261)
Rh (0.2579, 0.5000, 0.2739)
Rh (0.7421, 0.5000, 0.7261)
Rh (0.7579, 0.0000, 0.2739)

Calculated values
**E_tot**: -5.7036 eV/atom
**Symmetry**: C2/m
**DFT formation energy**: 263 meV per atom

VASP calculation (PBE) on HgIr2Rh after structural relaxation.

a = 3.9273 Å, b = 3.9273 Å, c = 4.1164 Å
α = 90.00°, β = 90.00°, γ = 90.00°
Atoms (fractional coordinates):
Hg (0.0000, 0.0000, 0.0000)
Ir (0.0000, 0.5000, 0.5000)
Ir (0.5000, 0.0000, 0.5000)
Rh (0.5000, 0.5000, 0.0000)

Calculated values
**E_tot**: -5.8987 eV/atom
**Symmetry**: P4/mmm
**DFT formation energy**: 445 meV per atom

VASP calculation (PBE) on HgIrRh2 after structural relaxation.

a = 2.7811 Å, b = 4.8525 Å, c = 9.5566 Å
α = 90.00°, β = 90.00°, γ = 90.00°
Atoms (fractional coordinates):
Hg (0.0000, 0.0000, 0.0000)
Hg (0.5000, 0.5000, 0.0000)
Ir (0.0000, 0.5000, 0.2677)
Ir (0.5000, 0.0000, 0.2677)
Rh (0.0000, 0.0000, 0.5031)
Rh (0.0000, 0.5000, 0.7397)
Rh (0.5000, 0.0000, 0.7397)
Rh (0.5000, 0.5000, 0.5031)

Calculated values
**E_tot**: -5.5716 eV/atom
**Symmetry**: Cmm2
**DFT formation energy**: 395 meV per atom

VASP calculation (PBE) on HgIr2Rh after structural relaxation.

a = 2.7678 Å, b = 4.8582 Å, c = 9.6552 Å
α = 90.00°, β = 90.00°, γ = 90.00°
Atoms (fractional coordinates):
Hg (0.0000, 0.0000, 0.0000)
Hg (0.5000, 0.5000, 0.0000)
Ir (0.0000, 0.5000, 0.2657)
Ir (0.0000, 0.5000, 0.7343)
Ir (0.5000, 0.0000, 0.2657)
Ir (0.5000, 0.0000, 0.7343)
Rh (0.0000, 0.0000, 0.5000)
Rh (0.5000, 0.5000, 0.5000)

Calculated values
**E_tot**: -5.8804 eV/atom
**Symmetry**: Cmmm
**DFT formation energy**: 463 meV per atom

Repeat the eighth record exactly.
VASP calculation (PBE) on HgIr2Rh after structural relaxation.

a = 2.7678 Å, b = 4.8582 Å, c = 9.6552 Å
α = 90.00°, β = 90.00°, γ = 90.00°
Atoms (fractional coordinates):
Hg (0.0000, 0.0000, 0.0000)
Hg (0.5000, 0.5000, 0.0000)
Ir (0.0000, 0.5000, 0.2657)
Ir (0.0000, 0.5000, 0.7343)
Ir (0.5000, 0.0000, 0.2657)
Ir (0.5000, 0.0000, 0.7343)
Rh (0.0000, 0.0000, 0.5000)
Rh (0.5000, 0.5000, 0.5000)

Calculated values
**E_tot**: -5.8804 eV/atom
**Symmetry**: Cmmm
**DFT formation energy**: 463 meV per atom